Entry 1:
Below is crystalline AcSmPb at its relaxed geometry, with properties calculated at the PBE level.

## Properties
space-group type	I4/mmm

Cell: 6.451 9.129 9.129 Å, 82.83 69.31 69.31°
Sites, in units of the cell vectors:
Pb (0.000, 0.628, 0.372)
Pb (0.372, 0.628, 0.628)
Pb (0.000, 0.372, 0.628)
Pb (0.628, 0.372, 0.372)
Sm (0.811, 0.000, 0.378)
Sm (0.189, 0.622, 0.000)
Sm (0.189, 0.000, 0.622)
Sm (0.811, 0.378, 0.000)
Ac (0.260, 0.240, 0.240)
Ac (0.740, 0.760, 0.760)
Ac (0.500, 0.760, 0.240)
Ac (0.500, 0.240, 0.760)

=====

Entry 2:
Below is crystalline AcSmPb6 at its relaxed geometry, with properties calculated at the PBE level.

## Properties
space-group type	P4/mmm

Cell: 5.002 5.002 9.920 Å, 90.00 90.00 90.00°
Sites, in units of the cell vectors:
Pb (0.000, 0.500, 0.259)
Pb (0.500, 0.000, 0.259)
Pb (0.500, 0.500, 0.000)
Pb (0.500, 0.500, 0.500)
Pb (0.000, 0.500, 0.741)
Pb (0.500, 0.000, 0.741)
Ac (0.000, 0.000, 0.000)
Sm (0.000, 0.000, 0.500)

=====

Entry 3:
Below is crystalline AcSmPb at its relaxed geometry, with properties calculated at the PBE level.

## Properties
space-group type	F-43m

Cell: 5.503 5.503 5.503 Å, 60.00 60.00 60.00°
Sites, in units of the cell vectors:
Sm (0.000, 0.000, 0.000)
Pb (0.250, 0.250, 0.250)
Ac (0.500, 0.500, 0.500)

=====

Entry 4:
Below is crystalline Ac4SmPb at its relaxed geometry, with properties calculated at the PBE level.

## Properties
space-group type	I4_1md

Cell: 9.152 9.152 9.152 Å, 110.68 110.68 107.09°
Sites, in units of the cell vectors:
Ac (0.749, 0.062, 0.313)
Ac (0.186, 0.999, 0.187)
Ac (0.692, 0.496, 0.195)
Ac (0.246, 0.551, 0.305)
Ac (0.749, 0.436, 0.687)
Ac (0.301, 0.496, 0.805)
Ac (0.812, 0.999, 0.813)
Ac (0.246, 0.942, 0.695)
Pb (0.749, 0.749, 0.000)
Pb (0.499, 0.999, 0.500)
Sm (0.010, 0.510, 0.500)
Sm (0.260, 0.260, 0.000)

=====

| no. | VASP energy (eV per atom) | E_form (eV/atom) | density (g/cm3) |
| --- | --- | --- | --- |
| 1 | -4.234 | -0.055 | 8.3 |
| 2 | -4.262 | -0.377 | 10.8 |
| 3 | -4.391 | -0.212 | 8.2 |
| 4 | -3.795 | 0.348 | 7.1 |